Entry from Alexandria via LeMat-Bulk: crystalline LaAgMoPt at its relaxed geometry (GGA-PBE).

abc: 4.1130 4.1130 20.4924
angles: 90.00 90.00 120.00
Closest atoms and distances in Å follow each position.
Space group R3m (No. 160, hexagonal axes)
Unique sites:
La1 0.0000 0.0000 0.0000 [3 per cell]  3 Pt 3.00, 3 Ag 3.28
Ag1 0.0000 0.0000 0.5566 [3 per cell]  1 Pt 2.74, 3 Mo 3.05
Mo1 0.0000 0.0000 0.7966 [3 per cell]  3 Pt 2.52
Pt1 0.0000 0.0000 0.4227 [3 per cell]  3 Mo 2.52, 1 Ag 2.74

Properties
crystal system: trigonal
relative energy among the computed polymorphs: 0.197 eV/atom
E_form: 87 meV/atom

Entry from Alexandria via LeMat-Bulk: crystalline Tb4Sm5Dy4 at its relaxed geometry (GGA-PBE).

abc: 12.9242 12.9242 5.0486
angles: 90.00 90.00 90.00
Closest atoms and distances in Å follow each position.
Space group I4/m (No. 87)
Unique sites:
Tb1 0.1543 0.2319 0.0000 [8 per cell]  6 Sm 3.56-3.60, 2 Tb 3.56, 4 Dy 3.58-3.60
Sm1 0.0000 0.0000 0.0000 [2 per cell]  8 Sm 3.59, 4 Tb 3.60
Sm2 0.0385 0.8063 0.5000 [8 per cell]  5 Tb 3.56-3.59, 3 Dy 3.57, 4 Sm 3.59-3.61
Dy1 0.0762 0.6146 0.0000 [8 per cell]  5 Dy 3.56, 3 Sm 3.57, 4 Tb 3.58-3.60

Properties
crystal system: tetragonal
E_form: 14 meV/atom

Entry from Alexandria via LeMat-Bulk: crystalline Ca2Be2AlRh5 at its relaxed geometry (GGA-PBE).

abc: 9.7341 9.7341 3.1132
angles: 90.00 90.00 90.00
Closest atoms and distances in Å follow each position.
Space group P4/mbm (No. 127)
Unique sites:
Ca1 0.1765 0.3235 0.0000 [4 per cell]  3 Be 2.76-2.96, 10 Rh 2.89-3.03
Be1 0.1232 0.6232 0.0000 [4 per cell]  6 Rh 2.30-2.32
Al1 0.0000 0.0000 0.0000 [2 per cell]  8 Rh 2.64
Rh1 0.0000 0.5000 0.5000 [2 per cell]  4 Be 2.30
Rh2 0.0654 0.7909 0.5000 [8 per cell]  2 Be 2.32

Properties
crystal system: tetragonal
E_form: -611 meV/atom

Entry from Alexandria via LeMat-Bulk: crystalline K2CdF at its relaxed geometry (GGA-PBE).

abc: 8.1017 8.1017 8.1017
angles: 90.00 90.00 90.00
Closest atoms and distances in Å follow each position.
Space group Fm-3m (No. 225)
Unique sites:
K1 0.2500 0.2500 0.2500 [8 per cell]  4 Cd 3.51, 4 F 3.51
Cd1 0.0000 0.0000 0.0000 [4 per cell]  8 K 3.51
F1 0.0000 0.0000 0.5000 [4 per cell]  8 K 3.51

Properties
E_form (uncorrected): -0.857 eV/atom
crystal system: cubic
relative energy among the computed polymorphs: 0.438 eV/atom

Entry from Alexandria via LeMat-Bulk: crystalline Dy3Pd2 at its relaxed geometry (GGA-PBE).

abc: 17.8740 4.2506 10.6674
angles: 90.00 97.73 90.00
Closest atoms and distances in Å follow each position.
Space group C2/m (No. 12)
Unique sites:
Dy1 0.0000 0.0000 0.0000 [2 per cell]  4 Pd 2.90
Dy2 0.0371 0.0000 0.6593 [4 per cell]  3 Pd 2.79-2.90
Dy3 0.1254 0.5000 0.2779 [4 per cell]  5 Pd 2.80-2.89
Dy4 0.1712 0.5000 0.9540 [4 per cell]  4 Pd 2.75-2.87
Dy5 0.2077 0.5000 0.6154 [4 per cell]  4 Pd 2.89-3.06
Pd1 0.0269 0.5000 0.8263 [4 per cell]  6 Dy 2.75-2.90
Pd2 0.1340 0.0000 0.4627 [4 per cell]  7 Dy 2.89-3.16
Pd3 0.1857 0.0000 0.1371 [4 per cell]  6 Dy 2.86-3.04

Properties
crystal system: monoclinic
relative energy among the computed polymorphs: 0.098 eV/atom
E_form: -634 meV/atom

Entry from Alexandria via LeMat-Bulk: crystalline Er5TmSc6 at its relaxed geometry (GGA-PBE).

abc: 5.8812 10.1787 11.1129
angles: 90.00 100.13 90.00
Closest atoms and distances in Å follow each position.
Space group C2/m (No. 12)
Unique sites:
Er1 0.0000 0.0000 0.0000 [2 per cell]  6 Sc 3.36-3.37, 6 Er 3.39
Er2 0.0000 0.1667 0.5000 [4 per cell]  6 Sc 3.36-3.37, 3 Tm 3.39, 3 Er 3.39
Er3 0.0000 0.3333 0.0000 [4 per cell]  6 Sc 3.36-3.37, 6 Er 3.39
Tm1 0.0000 0.5000 0.5000 [2 per cell]  6 Sc 3.36, 6 Er 3.39
Sc1 0.2495 0.0000 0.7499 [4 per cell]  5 Er 3.36-3.37, 1 Tm 3.36, 6 Sc 3.39-3.40
Sc2 0.2493 0.3334 0.7499 [8 per cell]  1 Tm 3.36, 5 Er 3.36-3.37, 6 Sc 3.39-3.40

Properties
crystal system: monoclinic
E_form: 56 meV/atom